An optimized crystal structure of YThScTc, computed with GGA-PBE.

extended XYZ file:
```
4
Lattice="-0.6165 3.9216 3.2478 -3.1424 -0.4741 4.0259 1.9322 -0.2706 4.7435" Properties=species:S:1:pos:R:3 pbc="T T T"
Y -0.4567 0.7942 3.0043
Sc -0.9134 1.5884 6.0086
Tc 0.0000 0.0000 0.0000
Th -1.3701 2.3826 9.0129
```

Summary:
- DOS(E_F) (states/eV per cell) = 5.60
- energy of formation (kJ/mol of formula units) = 29
- E (eV per atom) = -7.57
- symmetry = F-43m (216)